# Cu2SbCl

Cu2SbCl after structural relaxation (PBE, Alexandria via LeMat-Bulk).

Summary:
The total magnetic moment comes out at 0.00 μB/f.u. As for the symmetry: P2/m, No. 10. The calculation puts the raw total energy at -0.262 Ry per atom. The value obtained for the formation energy from raw total energies is -21.1 meV/atom. The value obtained for the excess energy over the best structure of this formula in the dataset is 0.084 eV per atom.

Cell: 3.2669 3.6918 6.5329 Å, 89.94 90.00 90.00°
Closest atoms and distances in Å follow each position.
Sites, in units of the cell vectors:
Cl 0.5000 0.7500 0.7500  4 Cu 2.53
Cu 0.0000 0.7481 0.4548  2 Cl 2.53, 1 Cu 2.68, 4 Sb 2.80-2.81
Cu 0.0000 0.7519 0.0452  2 Cl 2.53, 1 Cu 2.68, 4 Sb 2.80-2.81
Sb 0.5000 0.2500 0.2500  8 Cu 2.80-2.81